1.
Ag2PdPt, relaxed, DFT PBE; calculated volume = 131.9 Å³/cell; relative energy among the computed polymorphs = 0 meV per atom; calculated formation energy = -12 kJ/mol of formula units; space group = P6_3/mmc; DOS at the Fermi energy = 2.3 states/eV/f.u.; magnetization = 0.00 μB/cell
1.0
-0.119 2.634 0.996
-2.133 -1.782 0.470
8.390 -5.761 16.238
Ag Pd Pt
4 2 2
Direct
0.333 0.667 0.376
0.667 0.333 0.624
0.667 0.333 0.876
0.333 0.667 0.124
0.000 0.000 0.500
0.000 0.000 0.000
0.333 0.667 0.750
0.667 0.333 0.250


2.
Ce4Mg, relaxed, DFT PBE; calculated volume = 184.5 Å³/cell; relative energy among the computed polymorphs = 793 meV per atom; calculated formation energy = 399 kJ/mol of formula units; space group = Pm-3m; DOS at the Fermi energy = 22.3 states/eV/f.u.; magnetization = 5.40 μB/cell
1.0
5.693 0.000 0.000
0.000 5.693 0.000
0.000 0.000 5.693
Mg Ce
1 4
Direct
0.500 0.500 0.500
0.000 0.000 0.000
0.500 0.000 0.500
0.000 0.500 0.500
0.500 0.500 0.000


3.
KBaFe2, relaxed, DFT PBE; calculated volume = 115.7 Å³/cell; relative energy among the computed polymorphs = 677 meV per atom; calculated formation energy = 508 kJ/mol of formula units; space group = R-3m; DOS at the Fermi energy = 6.2 states/eV/f.u.; magnetization = 5.49 μB/cell
1.0
-1.633 6.893 8.130
-3.516 4.127 9.321
-0.014 4.274 9.900
Ba Fe K
1 2 1
Direct
0.250 0.250 0.250
0.995 0.995 0.995
0.505 0.505 0.505
0.750 0.750 0.750


Which formula does entry 3 have?
KBaFe2


Look up the DOS at the Fermi energy of the third one.
6.2 states/eV/f.u.


What is the DOS at the Fermi energy in the second record?
22.3 states/eV/f.u.